The following is a PBE calculation of a relaxed structure of ReRu2Pt, from Alexandria via LeMat-Bulk.

Values from the calculation:
* distance to the lowest polymorph of the same formula: 0.494 eV per atom
* energy of formation: 0.473 eV/atom

abc: 6.213 6.213 6.213
angles: 90.00 90.00 90.00
Space group F-43m (No. 216)
Symmetry-distinct sites (fractional):
Re  0.000  0.000  0.000
Ru  0.000  0.000  0.500
Ru  0.250  0.250  0.250
Pt  0.250  0.250  0.750